(1)
Below is an optimized crystal structure of PuHOs, with properties calculated at the PBE level.

The value obtained for the density of states at the Fermi level is 2.3757 states/eV/atom. The volume comes out at 15.34 A^3/atom. Its total energy is -28.8 eV per formula unit.

Cell lengths 4.2517, 4.2664, 5.4999 Å; angles 90.00, 112.72, 90.00 degrees
Atoms (fractional coordinates):
Os  0.9466  0.2500  0.8937
Os  0.0534  0.7500  0.1063
H  0.2542  0.2500  0.5081
H  0.7458  0.7500  0.4919
Pu  0.6547  0.2500  0.3093
Pu  0.3453  0.7500  0.6907

(2)
Below is an optimized crystal structure of Pu2HOs, with properties calculated at the PBE level.

The value obtained for the density of states at the Fermi level is 1.9379 states/eV/atom. The volume comes out at 16.09 A^3/atom. Its total energy is -41.8 eV per formula unit.

Cell lengths 2.9328, 2.9328, 8.8048 Å; angles 80.41, 80.41, 60.00 degrees
Atoms (fractional coordinates):
Pu  0.1010  0.1010  0.6970
Pu  0.8990  0.8990  0.3030
Os  0.0000  0.0000  0.0000
H  0.5000  0.5000  0.5000

(3)
Below is an optimized crystal structure of Pu2Si2HOs2, with properties calculated at the PBE level.

The value obtained for the density of states at the Fermi level is 2.8199 states/eV/atom. The volume comes out at 16.48 A^3/atom. Its total energy is -67.8 eV per formula unit.

Cell lengths 4.0582, 4.0582, 7.5694 Å; angles 105.55, 105.55, 90.00 degrees
Atoms (fractional coordinates):
H  0.0000  0.0000  0.0000
Si  0.3942  0.3942  0.7884
Si  0.6058  0.6058  0.2116
Os  0.0000  0.5000  0.0000
Os  0.5000  0.0000  0.0000
Pu  0.1700  0.1700  0.3401
Pu  0.8300  0.8300  0.6599

(4)
Below is an optimized crystal structure of PuSiHOs2, with properties calculated at the PBE level.

The value obtained for the density of states at the Fermi level is 1.5785 states/eV/atom. The volume comes out at 13.84 A^3/atom. Its total energy is -46.5 eV per formula unit.

Cell lengths 2.9746, 6.4063, 7.4683 Å; angles 90.00, 90.00, 103.42 degrees
Atoms (fractional coordinates):
Os  0.1576  0.3152  0.9608
Os  0.8424  0.6848  0.4608
Os  0.8424  0.6848  0.0392
Os  0.1576  0.3152  0.5392
H  0.0000  0.0000  0.0000
H  0.0000  0.0000  0.5000
Pu  0.4773  0.9545  0.7500
Pu  0.5227  0.0455  0.2500
Si  0.7498  0.4996  0.7500
Si  0.2502  0.5004  0.2500